TbGaIrN after structural relaxation. Source: Alexandria, functional PBE-GGA.

Geometry as CIF:
```
data_TbGaIrN
_cell_length_a 3.8551
_cell_length_b 3.8551
_cell_length_c 8.8935
_cell_angle_alpha 90.00
_cell_angle_beta 90.00
_cell_angle_gamma 90.00
_symmetry_space_group_name_H-M 'P 4/n m m'
_symmetry_Int_Tables_number 129
loop_
_symmetry_equiv_pos_as_xyz
'x,y,z'
'-x,-y,-z'
'-y+1/2,x,z'
'y+1/2,-x,-z'
'-x+1/2,-y+1/2,z'
'x+1/2,y+1/2,-z'
'y,-x+1/2,z'
'-y,x+1/2,-z'
'x+1/2,-y,-z'
'-x+1/2,y,z'
'-y,-x,-z'
'y,x,z'
'-x,y+1/2,-z'
'x,-y+1/2,z'
'y+1/2,x+1/2,-z'
'-y+1/2,-x+1/2,z'
loop_
_atom_site_label
_atom_site_fract_x
_atom_site_fract_y
_atom_site_fract_z
Tb1 0.2500 0.2500 0.1382
Ga1 0.2500 0.2500 0.6736
Ir1 0.2500 0.7500 0.5000
N1 0.2500 0.2500 0.8895
```

## Properties
calculated total energy	-27.885	eV per formula unit
uncorrected formation energy	-0.760	eV/atom

Na2Ga2Ir after structural relaxation. Source: Alexandria, functional PBE-GGA.

Geometry as CIF:
```
data_Na2Ga2Ir
_cell_length_a 6.5406
_cell_length_b 6.5406
_cell_length_c 5.1693
_cell_angle_alpha 90.00
_cell_angle_beta 90.00
_cell_angle_gamma 90.00
_symmetry_space_group_name_H-M 'P 4/m b m'
_symmetry_Int_Tables_number 127
_symmetry_space_group_name_Hall '-P 4 2ab'
loop_
_atom_site_label
_atom_site_fract_x
_atom_site_fract_y
_atom_site_fract_z
Na1 0.1809 0.3191 0.0000
Ga1 0.1652 0.6652 0.5000
Ir1 0.0000 0.0000 0.5000
```

## Properties
calculated total energy	-17.985	eV per formula unit
calculated formation energy	-0.0865	eV per atom

NaGa2Ir after structural relaxation. Source: Alexandria, functional PBE-GGA.

Geometry as CIF:
```
data_NaGa2Ir
_cell_length_a 2.9588
_cell_length_b 2.9588
_cell_length_c 8.2654
_cell_angle_alpha 90.00
_cell_angle_beta 90.00
_cell_angle_gamma 90.00
_symmetry_space_group_name_H-M 'P 4/m m m'
_symmetry_Int_Tables_number 123
_symmetry_space_group_name_Hall '-P 4 2'
loop_
_atom_site_label
_atom_site_fract_x
_atom_site_fract_y
_atom_site_fract_z
Na1 0.0000 0.0000 0.0000
Ga1 0.5000 0.5000 0.2995
Ir1 0.0000 0.0000 0.5000
```

## Properties
calculated total energy	-17.134	eV per formula unit
calculated formation energy	-0.2251	eV per atom

Na2GaIr after structural relaxation. Source: Alexandria, functional PBE-GGA.

Geometry as CIF:
```
data_Na2GaIr
_cell_length_a 3.7212
_cell_length_b 3.7212
_cell_length_c 21.3880
_cell_angle_alpha 90.00
_cell_angle_beta 90.00
_cell_angle_gamma 90.00
_symmetry_space_group_name_H-M 'I -4 2 d'
_symmetry_Int_Tables_number 122
_symmetry_space_group_name_Hall 'I -4 2bw'
loop_
_atom_site_label
_atom_site_fract_x
_atom_site_fract_y
_atom_site_fract_z
Na1 0.2452 0.2500 0.1250
Ga1 0.0000 0.0000 0.5000
Ir1 0.0000 0.0000 0.0000
```

## Properties
calculated total energy	-13.530	eV per formula unit
calculated formation energy	0.2490	eV per atom

What is the calculated total energy in the third record? -17.134 eV per formula unit